(1)
PmPr5Ho2Er | PBE | optimized geometry

Calculated values
final energy = -4.566 eV per atom
calculated formation energy = 123 kJ/mol of formula units
symmetry = Cmc2_1, No. 36
D(E_F) = 28.49 states/eV per cell

Lattice parameters (Å, degrees): 5.6736 10.6899 10.7964 90.00 90.00 105.39
Fractional coordinates of all 18 atoms:
Pr  0.6128  0.2256  0.5231
Er  0.4078  0.8156  0.4632
Pr  0.7048  0.4095  0.2035
Pm  0.7999  0.5998  0.5096
Pr  0.2803  0.5606  0.3108
Er  0.5922  0.1844  0.9632
Pr  0.0151  0.0302  0.0187
Pr  0.7197  0.4394  0.8108
Ho  0.8845  0.7691  0.8103
Ho  0.8889  0.7778  0.2400
Ho  0.1155  0.2309  0.3103
Pr  0.4825  0.9650  0.7448
Pr  0.2952  0.5905  0.7035
Pm  0.2001  0.4002  0.0096
Pr  0.9849  0.9698  0.5187
Pr  0.3872  0.7744  0.0231
Ho  0.1111  0.2222  0.7400
Pr  0.5175  0.0350  0.2448

---

(2)
Zr2ReHg | PBE | optimized geometry

Calculated values
final energy = -7.363 eV per atom
calculated formation energy = 38 kJ/mol of formula units
symmetry = I-4m2, No. 119
D(E_F) = 5.01 states/eV per cell

Lattice parameters (Å, degrees): 5.3615 5.3615 5.3615 133.98 133.98 67.13
Fractional coordinates of all 4 atoms:
Re  0.7500  0.2500  0.5000
Hg  0.5000  0.5000  0.0000
Zr  0.0000  0.0000  0.0000
Zr  0.2500  0.7500  0.5000

---

Number 1: total magnetization 0.00 μB/atom. Number 2: total magnetization 0.00 μB/atom.